The following is a DFT calculation (PBE-GGA) of a relaxed ZnSCl2O crystal.

Properties
Formation energy (no corrections): 0.558 eV per atom
Magnetic moment: 0.0000 μB/atom

Cell: 4.5774 4.5774 4.1187 Å, 90.00 90.00 90.00°
Fractional positions:
Zn 0.0000 0.0000 0.0000
S 0.5000 0.5000 0.0000
Cl 0.0000 0.5000 0.5000
Cl 0.5000 0.0000 0.5000
O 0.5000 0.5000 0.5000

---

The following is a DFT calculation (PBE-GGA) of a relaxed ZnS2ClO crystal.

Properties
Formation energy (no corrections): 0.654 eV per atom
Magnetic moment: 0.0000 μB/atom

Cell: 4.2175 4.2175 4.5823 Å, 90.00 90.00 90.00°
Fractional positions:
Zn 0.0000 0.0000 0.0000
S 0.0000 0.5000 0.5000
S 0.5000 0.0000 0.5000
Cl 0.5000 0.5000 0.0000
O 0.5000 0.5000 0.5000

---

The following is a DFT calculation (PBE-GGA) of a relaxed ZnS2ClO crystal.

Properties
Formation energy (no corrections): 1.006 eV per atom
Magnetic moment: 0.5518 μB/atom

Cell: 4.7940 4.7940 4.7359 Å, 90.00 90.00 90.00°
Fractional positions:
Zn 0.0000 0.0000 0.0000
S 0.0000 0.5000 0.0000
S 0.5000 0.0000 0.0000
Cl 0.0000 0.0000 0.5000
O 0.5000 0.5000 0.5000

---

The following is a DFT calculation (PBE-GGA) of a relaxed ZnSCl2O crystal.

Properties
Formation energy (no corrections): 0.649 eV per atom
Magnetic moment: 0.4001 μB/atom

Cell: 4.8211 4.8211 4.9171 Å, 90.00 90.00 90.00°
Fractional positions:
Zn 0.0000 0.0000 0.0000
S 0.0000 0.0000 0.5000
Cl 0.0000 0.5000 0.0000
Cl 0.5000 0.0000 0.0000
O 0.5000 0.5000 0.5000

---

The following is a DFT calculation (PBE-GGA) of a relaxed ZrS2ClO8 crystal.

Properties
Formation energy (no corrections): -1.582 eV per atom
Magnetic moment: 0.0835 μB/atom

Cell: 5.3715 5.3715 8.7961 Å, 94.90 94.90 60.17°
Fractional positions:
Zr 0.0000 0.0000 0.0000
S 0.3470 0.3470 0.2002
S 0.6530 0.6530 0.7998
Cl 0.0000 0.0000 0.5000
O 0.1813 0.6277 0.1217
O 0.1865 0.1865 0.1570
O 0.3723 0.8187 0.8783
O 0.3851 0.3851 0.3609
O 0.6149 0.6149 0.6391
O 0.6277 0.1813 0.1217
O 0.8135 0.8135 0.8430
O 0.8187 0.3723 0.8783

---

The following is a DFT calculation (PBE-GGA) of a relaxed SbClO2 crystal.

Properties
Formation energy (no corrections): -0.608 eV per atom
Magnetic moment: 0.1300 μB/atom

Cell: 6.2501 6.2501 8.6896 Å, 90.00 90.00 90.00°
Fractional positions:
Sb 0.0000 0.0000 0.0000
Sb 0.0000 0.5000 0.2500
Sb 0.5000 0.0000 0.7500
Sb 0.5000 0.5000 0.5000
Cl 0.0000 0.0000 0.5000
Cl 0.0000 0.5000 0.7500
Cl 0.5000 0.0000 0.2500
Cl 0.5000 0.5000 0.0000
O 0.0562 0.7500 0.1250
O 0.2500 0.0562 0.8750
O 0.2500 0.4438 0.3750
O 0.4438 0.7500 0.6250
O 0.5562 0.2500 0.6250
O 0.7500 0.5562 0.3750
O 0.7500 0.9438 0.8750
O 0.9438 0.2500 0.1250

---

The following is a DFT calculation (PBE-GGA) of a relaxed SbCl3O crystal.

Properties
Formation energy (no corrections): 0.038 eV per atom
Magnetic moment: 0.3985 μB/atom

Cell: 5.2668 5.2668 5.2668 Å, 90.00 90.00 90.00°
Fractional positions:
Sb 0.0000 0.0000 0.0000
Cl 0.0000 0.0000 0.5000
Cl 0.0000 0.5000 0.0000
Cl 0.5000 0.0000 0.0000
O 0.5000 0.5000 0.5000

---

The following is a DFT calculation (PBE-GGA) of a relaxed SbClO crystal.

Properties
Formation energy (no corrections): -0.875 eV per atom
Magnetic moment: 0.0000 μB/atom

Cell: 3.6660 3.6660 5.9635 Å, 90.00 90.00 120.00°
Fractional positions:
Sb 0.0000 0.0000 0.0000
Cl 0.6667 0.3333 0.6780
O 0.3333 0.6667 0.1180

---

The following is a DFT calculation (PBE-GGA) of a relaxed Sb4ClO6 crystal.

Properties
Formation energy (no corrections): -1.216 eV per atom
Magnetic moment: 0.0001 μB/atom

Cell: 10.0507 10.0507 11.7021 Å, 113.56 113.56 23.76°
Fractional positions:
Sb 0.0084 0.0084 0.2744
Sb 0.2011 0.2011 0.3206
Sb 0.2299 0.2299 0.8402
Sb 0.4209 0.4209 0.0277
Sb 0.5791 0.5791 0.9723
Sb 0.7701 0.7701 0.1598
Sb 0.7989 0.7989 0.6794
Sb 0.9916 0.9916 0.7256
Cl 0.3443 0.3443 0.5063
Cl 0.6557 0.6557 0.4937
O 0.0687 0.0687 0.9064
O 0.0919 0.0919 0.2168
O 0.2377 0.2377 0.1832
O 0.2849 0.2849 0.7160
O 0.3142 0.3142 0.0097
O 0.4802 0.4802 0.2178
O 0.5198 0.5198 0.7822
O 0.6858 0.6858 0.9903
O 0.7151 0.7151 0.2840
O 0.7623 0.7623 0.8168
O 0.9081 0.9081 0.7832
O 0.9313 0.9313 0.0936

---

The following is a DFT calculation (PBE-GGA) of a relaxed SbClO2 crystal.

Properties
Formation energy (no corrections): -0.937 eV per atom
Magnetic moment: 0.0000 μB/atom

Cell: 5.4766 5.7933 9.9953 Å, 90.00 90.00 90.00°
Fractional positions:
Sb 0.2500 0.0000 0.0621
Sb 0.2500 0.5000 0.4379
Sb 0.7500 0.0000 0.9379
Sb 0.7500 0.5000 0.5621
Cl 0.0638 0.2500 0.2500
Cl 0.4362 0.7500 0.2500
Cl 0.5638 0.2500 0.7500
Cl 0.9362 0.7500 0.7500
O 0.0510 0.1880 0.9326
O 0.0510 0.3120 0.5674
O 0.4490 0.6880 0.5674
O 0.4490 0.8120 0.9326
O 0.5510 0.1880 0.0674
O 0.5510 0.3120 0.4326
O 0.9490 0.6880 0.4326
O 0.9490 0.8120 0.0674

---

The following is a DFT calculation (PBE-GGA) of a relaxed SbCl2O crystal.

Properties
Formation energy (no corrections): -0.835 eV per atom
Magnetic moment: 0.0000 μB/atom

Cell: 3.8586 13.0568 4.5966 Å, 90.00 90.05 90.00°
Fractional positions:
Sb 0.2462 0.2500 0.4480
Sb 0.7538 0.7500 0.5520
Cl 0.2467 0.1112 0.7844
Cl 0.2467 0.3888 0.7844
Cl 0.7533 0.6112 0.2156
Cl 0.7533 0.8888 0.2156
O 0.2540 0.7500 0.6755
O 0.7460 0.2500 0.3245

---

The following is a DFT calculation (PBE-GGA) of a relaxed SbCl2O crystal.

Properties
Formation energy (no corrections): -0.693 eV per atom
Magnetic moment: 0.0000 μB/atom

Cell: 9.8658 9.8658 3.9708 Å, 90.00 90.00 90.00°
Fractional positions:
Sb 0.0000 0.0000 0.0000
Sb 0.0000 0.5000 0.2500
Sb 0.5000 0.0000 0.7500
Sb 0.5000 0.5000 0.5000
Cl 0.0907 0.2500 0.1250
Cl 0.2500 0.5907 0.3750
Cl 0.2500 0.9093 0.8750
Cl 0.4093 0.2500 0.6250
Cl 0.5907 0.7500 0.6250
Cl 0.7500 0.0907 0.8750
Cl 0.7500 0.4093 0.3750
Cl 0.9093 0.7500 0.1250
O 0.0000 0.0000 0.5000
O 0.0000 0.5000 0.7500
O 0.5000 0.0000 0.2500
O 0.5000 0.5000 0.0000

---

Question: What is the formation energy (no corrections) in the first record?
Answer: 0.558 eV per atom

---

Question: magnetic moment of number 7 (SbCl3O)?
Answer: 0.3985 μB/atom

---

Question: What is the formation energy (no corrections) in the third record?
Answer: 1.006 eV per atom